Record 1
# K2RbHg2

K2RbHg2 at its PBEsol-relaxed geometry (SCAN, Alexandria).

a = 10.105 Å, b = 10.105 Å, c = 3.876 Å
α = 90.00°, β = 90.00°, γ = 90.00°
Element x y z (fractional)
K: 0.130 0.370 0.000
K: 0.370 0.870 0.000
K: 0.630 0.130 0.000
K: 0.870 0.630 0.000
Rb: 0.000 0.000 0.000
Rb: 0.500 0.500 0.000
Hg: 0.165 0.665 0.500
Hg: 0.335 0.165 0.500
Hg: 0.665 0.835 0.500
Hg: 0.835 0.335 0.500

Size of the total moment (μB/f.u.): 0.00
ΔE to the lowest computed polymorph (meV/atom): 21
Total DFT energy (no corrections) (eV per atom): -34.9349

***

Record 2
# K2RbHg2

K2RbHg2 at its PBEsol-relaxed geometry (SCAN, Alexandria).

a = 5.425 Å, b = 5.425 Å, c = 14.607 Å
α = 90.00°, β = 90.00°, γ = 90.00°
Element x y z (fractional)
K: 0.000 0.500 0.250
K: 0.000 0.500 0.750
K: 0.500 0.000 0.250
K: 0.500 0.000 0.750
Rb: 0.000 0.000 0.000
Rb: 0.500 0.500 0.500
Hg: 0.000 0.000 0.403
Hg: 0.000 0.000 0.597
Hg: 0.500 0.500 0.097
Hg: 0.500 0.500 0.903

Size of the total moment (μB/f.u.): 0.00
ΔE to the lowest computed polymorph (meV/atom): 0
Total DFT energy (no corrections) (eV per atom): -34.9560

***

Record 3
# KRb2Hg2

KRb2Hg2 at its PBEsol-relaxed geometry (SCAN, Alexandria).

a = 5.626 Å, b = 5.626 Å, c = 14.548 Å
α = 90.00°, β = 90.00°, γ = 90.00°
Element x y z (fractional)
K: 0.000 0.000 0.000
K: 0.500 0.500 0.500
Rb: 0.000 0.500 0.250
Rb: 0.000 0.500 0.750
Rb: 0.500 0.000 0.250
Rb: 0.500 0.000 0.750
Hg: 0.000 0.000 0.403
Hg: 0.000 0.000 0.597
Hg: 0.500 0.500 0.097
Hg: 0.500 0.500 0.903

Size of the total moment (μB/f.u.): 0.00
ΔE to the lowest computed polymorph (meV/atom): 0
Total DFT energy (no corrections) (eV per atom): -37.3958

***

Number 2 is which compound? K2RbHg2

***

Which value of total DFT energy (no corrections) does entry 1 give? -34.9349 eV per atom